VASP calculation (GGA-PBE) on a relaxed structure of CuNiW2.

```
CuNiW2
1.0
4.622 -0.005 0.003
3.866 2.532 0.003
0.650 0.193 4.750
W Cu Ni
2 1 1
direct
0.754 0.754 0.733
0.992 0.992 0.016
0.505 0.505 0.494
0.249 0.249 0.257
```

Computed properties:
Total moment = 0.0 μB/f.u.
ΔE to the lowest computed polymorph = 0.087 eV/atom
Symmetry = Cm (8)

=====

VASP calculation (GGA-PBE) on a relaxed structure of CuNiW2.

```
CuNiW2
1.0
4.738 -0.005 0.000
1.741 4.407 0.000
-3.240 -2.201 2.667
W Cu Ni
2 1 1
direct
0.000 0.000 0.000
0.250 0.750 0.500
0.500 0.500 0.000
0.750 0.250 0.500
```

Computed properties:
Total moment = 0.0 μB/f.u.
ΔE to the lowest computed polymorph = 0.162 eV/atom
Symmetry = I-4m2 (119)

=====

VASP calculation (GGA-PBE) on a relaxed structure of CuNiW2.

```
CuNiW2
1.0
-2.208 3.249 1.579
-2.181 -1.449 -0.067
0.349 -1.988 4.581
Ni Cu W
1 1 2
direct
0.500 0.608 0.753
0.000 0.646 0.497
0.500 0.240 0.277
0.000 0.006 0.972
```

Computed properties:
Total moment = 0.0 μB/f.u.
ΔE to the lowest computed polymorph = 0.000 eV/atom
Symmetry = Pm (6)

=====

VASP calculation (GGA-PBE) on a relaxed structure of CuNiW2.

```
CuNiW2
1.0
2.643 0.000 0.000
0.000 3.859 0.000
0.000 0.000 5.475
W Cu Ni
2 1 1
direct
0.500 0.500 0.265
0.000 0.000 0.986
0.000 0.000 0.513
0.500 0.500 0.736
```

Computed properties:
Total moment = 0.0 μB/f.u.
ΔE to the lowest computed polymorph = 0.067 eV/atom
Symmetry = Pmm2 (25)

=====

VASP calculation (GGA-PBE) on a relaxed structure of CuNiW2.

```
CuNiW2
1.0
8.894 0.001 0.001
8.470 2.713 0.001
8.470 1.324 2.368
Cu W Ni
1 2 1
direct
0.495 0.495 0.495
0.007 0.007 0.007
0.246 0.246 0.246
0.752 0.752 0.752
```

Computed properties:
Total moment = 0.0 μB/f.u.
ΔE to the lowest computed polymorph = 0.173 eV/atom
Symmetry = R3m (160)

=====

VASP calculation (GGA-PBE) on a relaxed structure of CuNiW2.

```
CuNiW2
1.0
-0.963 3.256 -3.223
-0.431 1.058 -4.540
-4.779 -0.864 -0.488
Cu Ni W
1 1 2
direct
0.750 0.750 0.750
0.250 0.250 0.250
0.503 0.503 0.498
0.997 0.997 0.002
```

Computed properties:
Total moment = 0.0 μB/f.u.
ΔE to the lowest computed polymorph = 0.182 eV/atom
Symmetry = C2/m (12)

=====

VASP calculation (GGA-PBE) on a relaxed structure of CuNiW2.

```
CuNiW2
1.0
2.682 -0.004 0.000
-0.468 2.641 0.000
0.000 0.000 7.884
Ni Cu W
1 1 2
direct
0.500 0.500 0.742
0.000 0.000 0.518
0.000 0.000 0.976
0.500 0.500 0.264
```

Computed properties:
Total moment = 0.0 μB/f.u.
ΔE to the lowest computed polymorph = 0.003 eV/atom
Symmetry = Cmm2 (35)

=====

VASP calculation (GGA-PBE) on a relaxed structure of CuNi3W.

```
CuNi3W
1.0
4.394 0.000 0.000
0.000 4.103 -2.177
0.000 0.914 6.678
Cu W Ni
2 2 6
direct
0.750 0.438 0.876
0.250 0.562 0.124
0.250 0.189 0.377
0.750 0.811 0.623
0.250 0.604 0.715
0.750 0.396 0.285
0.000 0.000 0.000
0.500 0.000 0.000
0.750 0.889 0.285
0.250 0.111 0.715
```

Computed properties:
Total moment = 0.0 μB/f.u.
ΔE to the lowest computed polymorph = 0.000 eV/atom
Symmetry = Cmcm (63)

=====

VASP calculation (GGA-PBE) on a relaxed structure of CuNiW2.

```
CuNiW2
1.0
-3.530 -4.062 2.620
2.322 -1.032 -3.952
1.228 -2.012 1.246
Ni W Cu
1 2 1
direct
0.500 0.500 0.000
0.000 0.000 0.000
0.500 0.000 0.500
0.000 0.500 0.500
```

Computed properties:
Total moment = 0.0 μB/f.u.
ΔE to the lowest computed polymorph = 0.106 eV/atom
Symmetry = Cmmm (65)

=====

VASP calculation (GGA-PBE) on a relaxed structure of CuNiW2.

```
CuNiW2
1.0
0.000 3.021 3.021
3.021 0.000 3.021
3.021 3.021 0.000
Ni Cu W
1 1 2
direct
0.000 0.000 0.000
0.500 0.500 0.500
0.750 0.750 0.750
0.250 0.250 0.250
```

Computed properties:
Total moment = 0.0 μB/f.u.
ΔE to the lowest computed polymorph = 0.334 eV/atom
Symmetry = Fm-3m (225)

=====

VASP calculation (GGA-PBE) on a relaxed structure of CuNiW2.

```
CuNiW2
1.0
3.795 0.000 0.000
0.000 3.795 0.000
0.000 0.000 3.825
Ni Cu W
1 1 2
direct
0.000 0.500 0.500
0.500 0.000 0.500
0.500 0.500 0.000
0.000 0.000 0.000
```

Computed properties:
Total moment = 0.0 μB/f.u.
ΔE to the lowest computed polymorph = 0.103 eV/atom
Symmetry = P4/mmm (123)

=====

VASP calculation (GGA-PBE) on a relaxed structure of Y8Cu2Ni.

```
Y8Cu2Ni
1.0
-2.085 4.511 -3.416
-6.442 -2.526 3.306
4.689 3.735 4.783
Cu Y Ni
2 8 1
direct
0.496 0.318 0.702
0.496 0.702 0.318
0.348 0.653 0.913
0.348 0.913 0.653
0.979 0.194 0.804
0.182 0.363 0.363
0.794 0.643 0.643
0.979 0.804 0.194
0.595 0.091 0.349
0.595 0.349 0.091
0.187 0.004 0.004
```

Computed properties:
Total moment = 0.0 μB/f.u.
Symmetry = Cm (8)

=====

VASP calculation (GGA-PBE) on a relaxed structure of YCu4Ni.

```
YCu4Ni
1.0
3.817 0.000 0.000
0.000 6.534 0.000
0.000 0.000 7.215
Cu Ni Y
8 2 2
direct
0.000 0.000 0.500
0.500 0.036 0.250
0.500 0.964 0.750
0.000 0.000 0.000
0.500 0.710 0.450
0.500 0.290 0.550
0.500 0.290 0.950
0.500 0.710 0.050
0.000 0.777 0.250
0.000 0.223 0.750
0.000 0.611 0.750
0.000 0.389 0.250
```

Computed properties:
Total moment = 0.0 μB/f.u.
Symmetry = Pmma (51)

=====

VASP calculation (GGA-PBE) on a relaxed structure of YCu3Ni.

```
YCu3Ni
1.0
-1.091 4.282 -0.517
-2.854 -1.278 -4.566
-5.886 -1.022 3.964
Cu Ni Y
6 2 2
direct
0.500 0.500 0.000
0.000 0.245 0.247
0.000 0.255 0.747
0.500 0.000 0.500
0.000 0.755 0.753
0.000 0.745 0.253
0.000 0.000 0.500
0.000 0.500 0.000
0.500 0.000 0.000
0.500 0.500 0.500
```

Computed properties:
Total moment = 0.0 μB/f.u.
ΔE to the lowest computed polymorph = 0.364 eV/atom
Symmetry = Pbam (55)

=====

VASP calculation (GGA-PBE) on a relaxed structure of YCu2Ni2.

```
YCu2Ni2
1.0
-1.417 -1.401 -3.200
0.022 -3.457 1.504
-5.671 -1.650 1.014
Cu Ni Y
2 2 1
direct
0.750 0.250 0.500
0.250 0.750 0.500
0.393 0.393 0.214
0.607 0.607 0.786
0.000 0.000 0.000
```

Computed properties:
Total moment = 0.0 μB/f.u.
ΔE to the lowest computed polymorph = 0.000 eV/atom
Symmetry = I4/mmm (139)

=====

VASP calculation (GGA-PBE) on a relaxed structure of YCuNi2.

```
YCuNi2
1.0
4.097 0.019 -0.017
2.036 3.556 -0.017
2.054 1.197 4.478
Ni Y Cu
2 1 1
direct
0.450 0.450 0.650
0.050 0.050 0.850
0.250 0.250 0.250
0.750 0.750 0.750
```

Computed properties:
Total moment = 0.0 μB/f.u.
Symmetry = C2/m (12)

=====

VASP calculation (GGA-PBE) on a relaxed structure of YCu4Ni.

```
YCu4Ni
1.0
4.357 1.191 -1.181
1.222 4.340 1.209
-1.473 1.431 6.834
Cu Y Ni
4 1 1
direct
0.000 0.000 0.500
0.263 0.236 0.263
0.500 0.500 0.500
0.737 0.764 0.737
0.500 0.000 0.000
0.000 0.500 0.500
```

Computed properties:
Total moment = 0.0 μB/f.u.
Symmetry = C2/m (12)

=====

VASP calculation (GGA-PBE) on a relaxed structure of YCuNi2.

```
YCuNi2
1.0
4.428 0.000 0.000
2.214 3.835 0.000
2.214 1.278 3.615
Ni Y Cu
2 1 1
direct
0.250 0.250 0.250
0.000 0.000 0.000
0.750 0.750 0.750
0.500 0.500 0.500
```

Computed properties:
Total moment = 0.0 μB/f.u.
Symmetry = F-43m (216)

=====

VASP calculation (GGA-PBE) on a relaxed structure of Y2Cu3Ni2.

```
Y2Cu3Ni2
1.0
-4.020 -0.065 -0.589
2.709 0.187 -4.494
-0.215 -5.960 2.121
Cu Y Ni
3 2 2
direct
0.360 0.720 0.777
0.640 0.280 0.223
0.000 0.000 0.000
0.644 0.288 0.750
0.356 0.712 0.250
0.109 0.219 0.429
0.891 0.781 0.571
```

Computed properties:
Total moment = 0.0 μB/f.u.
Symmetry = C2/m (12)

=====

VASP calculation (GGA-PBE) on a relaxed structure of Y2CuNi.

```
Y2CuNi
1.0
-0.646 -5.862 4.319
7.119 -1.419 -0.862
3.952 -1.708 4.458
Y Cu Ni
4 2 2
direct
0.875 0.860 0.750
0.610 0.125 0.250
0.140 0.625 0.250
0.375 0.390 0.750
0.750 0.250 0.500
0.000 0.000 0.000
0.500 0.500 0.000
0.250 0.750 0.500
```

Computed properties:
Total moment = 0.0 μB/f.u.
Symmetry = I-42d (122)

=====

VASP calculation (GGA-PBE) on a relaxed structure of Y2CuNi.

```
Y2CuNi
1.0
-0.178 2.287 -2.549
-2.998 1.131 1.222
3.337 4.620 3.913
Cu Y Ni
1 2 1
direct
0.500 0.500 0.250
0.000 0.000 0.507
0.000 0.000 0.993
0.500 0.500 0.750
```

Computed properties:
Total moment = 0.0 μB/f.u.
Symmetry = P4/mmm (123)

=====

VASP calculation (GGA-PBE) on a relaxed structure of YCuNi2.

```
YCuNi2
1.0
3.243 0.000 0.000
0.000 3.399 0.000
0.000 0.000 5.582
Ni Cu Y
2 1 1
direct
0.500 0.500 0.220
0.000 0.000 0.993
0.500 0.500 0.798
0.000 0.000 0.488
```

Computed properties:
Total moment = 0.0 μB/f.u.
Symmetry = Pmm2 (25)

=====

VASP calculation (GGA-PBE) on a relaxed structure of YCu11Ni.

```
YCu11Ni
1.0
-1.857 -4.177 -1.524
3.536 -2.791 -4.640
2.243 -5.025 3.421
Cu Y Ni
11 1 1
direct
0.000 0.500 0.000
0.500 0.000 0.500
0.277 0.223 0.222
0.723 0.777 0.778
0.499 0.223 0.778
0.013 0.643 0.352
0.000 0.000 0.500
0.987 0.357 0.648
0.365 0.643 0.648
0.501 0.777 0.222
0.635 0.357 0.352
0.000 0.000 0.000
0.500 0.500 0.000
```

Computed properties:
Total moment = 0.0 μB/f.u.
Symmetry = C2/m (12)

=====

VASP calculation (GGA-PBE) on a relaxed structure of YCu2Ni2.

```
YCu2Ni2
1.0
-3.170 2.028 -0.688
-1.995 -3.243 -0.368
0.472 0.753 10.677
Ni Cu Y
4 4 2
direct
0.750 0.250 0.500
0.069 0.069 0.138
0.250 0.750 0.500
0.931 0.931 0.862
0.000 0.500 0.000
0.181 0.181 0.362
0.819 0.819 0.638
0.500 0.000 0.000
0.374 0.374 0.748
0.626 0.626 0.252
```

Computed properties:
Total moment = 0.0 μB/f.u.
ΔE to the lowest computed polymorph = 0.020 eV/atom
Symmetry = I4/mmm (139)

=====

VASP calculation (GGA-PBE) on a relaxed structure of Y4CuNi.

```
Y4CuNi
1.0
3.805 2.494 4.063
-1.162 5.543 2.264
-1.727 0.618 5.817
Y Ni Cu
4 1 1
direct
0.876 0.375 0.375
0.375 0.876 0.375
0.375 0.375 0.876
0.375 0.375 0.375
0.000 0.000 0.000
0.750 0.750 0.750
```

Computed properties:
Total moment = 0.0 μB/f.u.
ΔE to the lowest computed polymorph = 0.878 eV/atom
Symmetry = F-43m (216)

=====

VASP calculation (GGA-PBE) on a relaxed structure of Y3Cu3Ni.

```
Y3Cu3Ni
1.0
-0.740 -2.459 2.940
-1.076 -4.956 -1.825
13.384 -5.039 1.744
Cu Y Ni
6 6 2
direct
0.896 0.130 0.077
0.104 0.870 0.923
0.966 0.835 0.233
0.142 0.256 0.461
0.034 0.165 0.767
0.858 0.744 0.539
0.536 0.318 0.609
0.607 0.708 0.077
0.393 0.292 0.923
0.464 0.682 0.391
0.747 0.745 0.761
0.253 0.255 0.239
0.237 0.907 0.620
0.763 0.093 0.380
```

Computed properties:
Total moment = 0.0 μB/f.u.
Symmetry = C2/m (12)

=====

no.,V (Å³/atom),electronic total energy (eV per atom)
1,13.91,-8.72
2,13.93,-8.64
3,13.75,-8.81
4,13.96,-8.74
5,14.28,-8.63
6,14.19,-8.62
7,13.95,-8.80
8,12.91,-6.59
9,13.79,-8.70
10,13.79,-8.47
11,13.77,-8.70
12,27.42,-5.98
13,15.00,-4.87
14,17.65,-4.71
15,15.25,-5.45
16,16.31,-5.80
17,16.67,-4.73
18,15.35,-5.60
19,16.55,-5.52
20,22.84,-5.60
21,20.33,-6.01
22,15.38,-5.58
23,13.28,-4.50
24,15.17,-5.43
25,26.74,-5.11
26,19.97,-5.65